Record 1
# NaSrSi2 (PBE-GGA, relaxed)
data_NaSrSi2
_chemical_formula_sum 'Na4 Sr4 Si8'
_cell_length_a 7.3137
_cell_length_b 7.3137
_cell_length_c 7.3137
_cell_angle_alpha 90.00
_cell_angle_beta 90.00
_cell_angle_gamma 90.00
_symmetry_space_group_name_H-M 'F m -3 m'
_symmetry_Int_Tables_number 225
_symmetry_space_group_name_Hall '-F 4 2 3'
loop_
_atom_site_label
_atom_site_fract_x
_atom_site_fract_y
_atom_site_fract_z
Na1 0.0000 0.0000 0.0000
Sr1 0.0000 0.0000 0.5000
Si1 0.2500 0.2500 0.2500
# **Formation energy without anion corrections**: 0.17 eV/atom
# **Excess energy over the best structure of this formula in the dataset**: 434 meV/atom
# **Volume**: 391 Å³ per cell

=====

Record 2
# Na2SrSi2 (PBE-GGA, relaxed)
data_Na2SrSi2
_chemical_formula_sum 'Na8 Sr4 Si8'
_cell_length_a 4.4057
_cell_length_b 4.6401
_cell_length_c 26.1567
_cell_angle_alpha 90.00
_cell_angle_beta 90.00
_cell_angle_gamma 90.00
_symmetry_space_group_name_H-M 'I m m a'
_symmetry_Int_Tables_number 74
_symmetry_space_group_name_Hall '-I 2b 2'
loop_
_atom_site_label
_atom_site_fract_x
_atom_site_fract_y
_atom_site_fract_z
Na1 0.0000 0.2500 0.0599
Na2 0.0000 0.2500 0.5612
Sr1 0.0000 0.2500 0.8194
Si1 0.0000 0.2500 0.2737
Si2 0.0000 0.2500 0.3620
# **Formation energy without anion corrections**: -0.15 eV/atom
# **Excess energy over the best structure of this formula in the dataset**: 0 meV/atom
# **Volume**: 535 Å³ per cell

=====

Record 3
# Na2SrSi2 (PBE-GGA, relaxed)
data_Na2SrSi2
_chemical_formula_sum 'Na4 Sr2 Si4'
_cell_length_a 8.6853
_cell_length_b 8.6853
_cell_length_c 3.1523
_cell_angle_alpha 90.00
_cell_angle_beta 90.00
_cell_angle_gamma 90.00
_symmetry_space_group_name_H-M 'P 4/m b m'
_symmetry_Int_Tables_number 127
_symmetry_space_group_name_Hall '-P 4 2ab'
loop_
_atom_site_label
_atom_site_fract_x
_atom_site_fract_y
_atom_site_fract_z
Na1 0.1145 0.3855 0.0000
Sr1 0.0000 0.0000 0.0000
Si1 0.1845 0.6845 0.5000
# **Formation energy without anion corrections**: 0.15 eV/atom
# **Excess energy over the best structure of this formula in the dataset**: 298 meV/atom
# **Volume**: 238 Å³ per cell

=====

Record 4
# NaSrSi (PBE-GGA, relaxed)
data_NaSrSi
_chemical_formula_sum 'Na2 Sr2 Si2'
_cell_length_a 4.6864
_cell_length_b 4.0447
_cell_length_c 10.0769
_cell_angle_alpha 90.00
_cell_angle_beta 103.44
_cell_angle_gamma 90.00
_symmetry_space_group_name_H-M 'P 1 21/m 1'
_symmetry_Int_Tables_number 11
loop_
_symmetry_equiv_pos_as_xyz
'x,y,z'
'-x,-y,-z'
'-x,y+1/2,-z'
'x,-y+1/2,z'
loop_
_atom_site_label
_atom_site_fract_x
_atom_site_fract_y
_atom_site_fract_z
Na1 0.2032 0.2500 0.4082
Sr1 0.4156 0.2500 0.8314
Si1 0.0357 0.2500 0.0726
# **Formation energy without anion corrections**: -0.27 eV/atom
# **Volume**: 186 Å³ per cell

=====

Record 5
# Na2SrSi2 (PBE-GGA, relaxed)
data_Na2SrSi2
_chemical_formula_sum 'Na4 Sr2 Si4'
_cell_length_a 7.8056
_cell_length_b 7.8056
_cell_length_c 4.7800
_cell_angle_alpha 90.00
_cell_angle_beta 90.00
_cell_angle_gamma 90.00
_symmetry_space_group_name_H-M 'P 4/m b m'
_symmetry_Int_Tables_number 127
_symmetry_space_group_name_Hall '-P 4 2ab'
loop_
_atom_site_label
_atom_site_fract_x
_atom_site_fract_y
_atom_site_fract_z
Na1 0.1616 0.3384 0.0000
Sr1 0.0000 0.0000 0.5000
Si1 0.1020 0.6020 0.5000
# **Formation energy without anion corrections**: 0.03 eV/atom
# **Excess energy over the best structure of this formula in the dataset**: 170 meV/atom
# **Volume**: 291 Å³ per cell

=====

Record 6
# NaSr2Si (PBE-GGA, relaxed)
data_NaSr2Si
_chemical_formula_sum 'Na4 Sr8 Si4'
_cell_length_a 5.4853
_cell_length_b 5.4853
_cell_length_c 20.9050
_cell_angle_alpha 90.00
_cell_angle_beta 90.00
_cell_angle_gamma 90.00
_symmetry_space_group_name_H-M 'I -4 2 d'
_symmetry_Int_Tables_number 122
_symmetry_space_group_name_Hall 'I -4 2bw'
loop_
_atom_site_label
_atom_site_fract_x
_atom_site_fract_y
_atom_site_fract_z
Na1 0.0000 0.0000 0.0000
Sr1 0.2148 0.2500 0.6250
Si1 0.0000 0.0000 0.5000
# **Formation energy without anion corrections**: 0.34 eV/atom
# **Volume**: 629 Å³ per cell